Compound: ThTl3V2Se6
Source: Alexandria
Functional: PBE
Structure: relaxed

Lattice parameters (Å, degrees): 6.8674 11.8327 8.1305 90.00 106.24 90.00
Last column: nearest neighbours and their distance in Å.
Space group C2/m (No. 12)
Unique sites:
Th (0.0000, 0.0000, 0.0000) (multiplicity 2)  6 Se 2.90-2.91
Tl (0.0000, 0.1578, 0.5000) (multiplicity 4)  6 Se 3.22-3.38
Tl (0.0000, 0.5000, 0.5000) (multiplicity 2)  6 Se 3.20-3.37
V (0.0000, 0.3327, 0.0000) (multiplicity 4)  6 Se 2.63-2.67
Se (0.1976, 0.5000, 0.1867) (multiplicity 4)  2 V 2.63, 1 Th 2.90
Se (0.2468, 0.1814, 0.1954) (multiplicity 8)  2 V 2.66-2.67, 1 Th 2.91

Computed properties:
Total moment ... 10.0 μB per cell
Raw formation energy ... -0.806 eV/atom

Compound: TbPm5NdEr2
Source: Alexandria
Functional: PBE
Structure: relaxed

Lattice parameters (Å, degrees): 5.6562 20.2820 10.7279 90.00 90.00 90.00
Last column: nearest neighbours and their distance in Å.
Space group Cmc2_1 (No. 36)
Unique sites:
Tb (0.0000, 0.0879, 0.0000) (multiplicity 4)  5 Pm 3.08-3.35
Pm (0.0000, 0.0214, 0.2859) (multiplicity 4)  2 Tb 3.19-3.35, 2 Pm 3.49-3.52, 2 Er 3.52
Pm (0.0000, 0.1076, 0.5702) (multiplicity 4)  5 Pm 3.49-3.79, 4 Er 3.60-3.63, 1 Nd 3.87
Pm (0.0000, 0.2029, 0.2485) (multiplicity 4)  3 Pm 3.44-3.70, 3 Nd 3.52-3.80, 1 Tb 3.54, 3 Er 3.55-3.81
Pm (0.0000, 0.2181, 0.8524) (multiplicity 4)  1 Tb 3.08, 1 Er 3.36, 2 Pm 3.44
Pm (0.0000, 0.4831, 0.5682) (multiplicity 4)  2 Tb 3.26, 3 Er 3.45-3.60
Nd (0.0000, 0.2982, 0.5537) (multiplicity 4)  2 Er 3.46-3.75, 8 Pm 3.52-3.87, 2 Tb 3.70
Er (0.0000, 0.3835, 0.8636) (multiplicity 4)  9 Pm 3.36-3.76, 1 Nd 3.75
Er (0.0000, 0.3901, 0.2824) (multiplicity 4)  7 Pm 3.45-3.81, 1 Nd 3.46, 2 Tb 3.69

Computed properties:
Total moment ... 0.0 μB per cell
Energy of formation ... 148 meV/atom